1.
Compound: Ta5Ir4Au
Source: Alexandria via LeMat-Bulk
Functional: PBE
Structure: relaxed

Lattice parameters (Å, degrees): 2.8818 2.8818 19.8059 90.00 90.00 90.00
Space group P4/mmm (No. 123)
One atom of each set of equivalent atoms:
Ta (0.0000, 0.0000, 0.0000) x1
Ta (0.0000, 0.0000, 0.1960) x2
Ta (0.0000, 0.0000, 0.3904) x2
Ir (0.5000, 0.5000, 0.0975) x2
Ir (0.5000, 0.5000, 0.2944) x2
Au (0.5000, 0.5000, 0.5000) x1

Values from the calculation:
Crystal system: tetragonal
Energy in eV per atom: -10.271
DFT formation energy in eV per atom: -0.4726

***

2.
Compound: Nd4Sm3ThSe8
Source: Alexandria via LeMat-Bulk
Functional: PBE
Structure: relaxed

Lattice parameters (Å, degrees): 8.4147 8.4147 20.6056 90.00 90.00 120.00
Space group R-3m (No. 166, hexagonal axes)
One atom of each set of equivalent atoms:
Nd (0.0000, 0.0000, 0.0000) x3
Nd (0.0000, 0.5000, 0.0000) x9
Sm (0.0000, 0.5000, 0.5000) x9
Th (0.0000, 0.0000, 0.5000) x3
Se (0.0000, 0.0000, 0.2482) x6
Se (0.0013, 0.5006, 0.7515) x18

Values from the calculation:
Formation energy from raw total energies in eV per atom: -1.79
Crystal system: trigonal
Energy in eV per atom: -6.069

***

3.
Compound: SnSF2
Source: Alexandria via LeMat-Bulk
Functional: PBE
Structure: relaxed

Lattice parameters (Å, degrees): 6.3323 6.3323 6.3323 90.00 90.00 90.00
Space group Fm-3m (No. 225)
One atom of each set of equivalent atoms:
Sn (0.0000, 0.0000, 0.0000) x4
S (0.0000, 0.0000, 0.5000) x4
F (0.2500, 0.2500, 0.2500) x8

Values from the calculation:
Formation energy from raw total energies in eV per atom: -0.76
Crystal system: cubic
Energy in eV per atom: -3.730

***

Question: energy of number 1 (Ta5Ir4Au)?
Answer: -10.271 eV per atom

***

Repeat the third record exactly.
Compound: SnSF2
Source: Alexandria via LeMat-Bulk
Functional: PBE
Structure: relaxed

Lattice parameters (Å, degrees): 6.3323 6.3323 6.3323 90.00 90.00 90.00
Space group Fm-3m (No. 225)
One atom of each set of equivalent atoms:
Sn (0.0000, 0.0000, 0.0000) x4
S (0.0000, 0.0000, 0.5000) x4
F (0.2500, 0.2500, 0.2500) x8

Values from the calculation:
Formation energy from raw total energies in eV per atom: -0.76
Crystal system: cubic
Energy in eV per atom: -3.730

***

Question: Which of these has the highest energy?
Answer: SnSF2

***

Question: Number 1 is which compound?
Answer: Ta5Ir4Au